Compound: HfMnIO2
Source: Alexandria via LeMat-Bulk
Functional: GGA+U
Structure: optimized geometry

a b c (Å): 4.026 4.026 5.313
angles (deg): 90.00 90.00 90.00
Element x y z (fractional)
Hf  0.000  0.000  0.000
Mn  0.500  0.500  0.500
I  0.500  0.500  0.000
O  0.000  0.500  0.500
O  0.500  0.000  0.500

Properties
- distance to the lowest polymorph of the same formula (eV/f.u.) = 5.957
- final energy (eV per atom) = -5.996